(1)
VASP calculation (GGA-PBE) on a geometry-optimized TmTlPdS3 structure.

* mass density: 6.33 g cm⁻³
* energy relative to the lowest polymorph listed for this composition: 0.000 eV/atom

Unit cell a=7.9968 b=3.9604 c=10.0568 alpha=90.00 beta=108.54 gamma=90.00
Last column: nearest neighbours and their distance in Å.
Element x y z (fractional)
Tl 0.2579 0.7500 0.7807  4 S 3.13-3.23
Tm 0.3125 0.2500 0.3595  6 S 2.65-2.78
S 0.4498 0.2500 0.6366  3 Tm 2.65-2.74
Pd 0.0874 0.7500 0.0894  4 S 2.34-2.56
S 0.2339 0.2500 0.0694  3 Pd 2.34-2.56
Tl 0.7421 0.2500 0.2193  4 S 3.13-3.23
S 0.9244 0.2500 0.6668  1 Pd 2.48, 2 Tm 2.70
S 0.7661 0.7500 0.9306  3 Pd 2.34-2.56
S 0.5502 0.7500 0.3634  3 Tm 2.65-2.74
Tm 0.6875 0.7500 0.6405  6 S 2.65-2.78
Pd 0.9126 0.2500 0.9106  4 S 2.34-2.56
S 0.0756 0.7500 0.3332  1 Pd 2.48, 2 Tm 2.70

---

(2)
VASP calculation (GGA-PBE) on a geometry-optimized Y2PdS4 structure.

* mass density: 4.06 g cm⁻³
* total energy: -88.0 eV/cell

Unit cell a=7.8122 b=7.8122 c=7.8122 alpha=60.00 beta=60.00 gamma=60.00
Last column: nearest neighbours and their distance in Å.
Element x y z (fractional)
S 0.3824 0.8725 0.8725  1 Pd 2.44
S 0.8725 0.8725 0.3824  1 Pd 2.44
S 0.8676 0.3775 0.3775  1 Pd 2.44
S 0.3775 0.3775 0.8676  1 Pd 2.44
Pd 0.0000 0.0000 0.0000  4 S 2.44
Y 0.6250 0.6250 0.1250  6 S 2.74
Y 0.1250 0.6250 0.6250  6 S 2.74
S 0.8725 0.8725 0.8725  1 Pd 2.44
Y 0.6250 0.1250 0.6250  6 S 2.74
S 0.8725 0.3824 0.8725  1 Pd 2.44
Pd 0.2500 0.2500 0.2500  4 S 2.44
Y 0.6250 0.6250 0.6250  6 S 2.74
S 0.3775 0.8676 0.3775  1 Pd 2.44
S 0.3775 0.3775 0.3775  1 Pd 2.44

---

(3)
VASP calculation (GGA-PBE) on a geometry-optimized Y7Pd2S2 structure.

* mass density: 5.50 g cm⁻³
* total energy: -75.0 eV/cell

Unit cell a=9.0906 b=9.0906 c=9.0906 alpha=155.52 beta=67.29 gamma=118.42
Last column: nearest neighbours and their distance in Å.
Element x y z (fractional)
Y 0.1286 0.2580 0.8706  2 S 2.87, 2 Pd 2.99
Y 0.0327 0.4177 0.6150  3 S 2.90-2.96, 2 Pd 2.93
Y 0.5205 0.0205 0.5000  3 S 2.98-3.29
Y 0.4472 0.6285 0.8187  3 Pd 2.83-3.02, 1 S 3.02
Y 0.8099 0.6285 0.1813  3 Pd 2.83-3.02, 1 S 3.02
Y 0.3874 0.2580 0.1294  2 S 2.87, 2 Pd 2.99
Pd 0.6657 0.9264 0.7393  7 Y 2.83-3.02
Pd 0.1871 0.9264 0.2607  7 Y 2.83-3.02
Y 0.8027 0.4177 0.3850  3 S 2.90-2.96, 2 Pd 2.93
S 0.1674 0.6674 0.5000  6 Y 2.87-2.90
S 0.7644 0.7644 0.0000  8 Y 2.96-3.02

---

(4)
VASP calculation (GGA-PBE) on a geometry-optimized YPd3S4 structure.

* mass density: 5.92 g cm⁻³
* total energy: -91.2 eV/cell

Unit cell a=6.7024 b=6.7024 c=6.7024 alpha=90.00 beta=90.00 gamma=90.00
Last column: nearest neighbours and their distance in Å.
Element x y z (fractional)
S 0.7500 0.7500 0.2500  3 Pd 2.37
S 0.2500 0.7500 0.7500  3 Pd 2.37
S 0.7500 0.2500 0.7500  3 Pd 2.37
Pd 0.7500 0.5000 0.0000  4 S 2.37
S 0.7500 0.2500 0.2500  3 Pd 2.37
S 0.2500 0.2500 0.7500  3 Pd 2.37
Pd 0.5000 0.0000 0.7500  4 S 2.37
Y 0.5000 0.5000 0.5000  8 S 2.90
Pd 0.0000 0.7500 0.5000  4 S 2.37
S 0.7500 0.7500 0.7500  3 Pd 2.37
S 0.2500 0.7500 0.2500  3 Pd 2.37
Pd 0.2500 0.5000 0.0000  4 S 2.37
S 0.2500 0.2500 0.2500  3 Pd 2.37
Pd 0.5000 0.0000 0.2500  4 S 2.37
Y 0.0000 0.0000 0.0000  8 S 2.90
Pd 0.0000 0.2500 0.5000  4 S 2.37

---

(5)
VASP calculation (GGA-PBE) on a geometry-optimized ZrPdS3 structure.

* mass density: 4.37 g cm⁻³
* total energy: -121.9 eV/cell

Unit cell a=9.0803 b=4.1560 c=11.8427 alpha=90.00 beta=90.00 gamma=90.00
Last column: nearest neighbours and their distance in Å.
Element x y z (fractional)
S 0.3250 0.7500 0.4994  1 Pd 2.42, 2 Zr 2.54
Pd 0.8794 0.7500 0.8008  4 S 2.30-2.42
S 0.9963 0.7500 0.6187  1 Pd 2.40
S 0.2929 0.2500 0.7494  2 Pd 2.30, 1 Zr 2.43
S 0.1750 0.2500 0.9994  1 Pd 2.42, 2 Zr 2.54
S 0.5037 0.2500 0.1187  1 Pd 2.40
S 0.4963 0.7500 0.8813  1 Pd 2.40
S 0.0037 0.2500 0.3813  1 Pd 2.40
S 0.7071 0.7500 0.2506  2 Pd 2.30, 1 Zr 2.43
Zr 0.6860 0.2500 0.9389  4 S 2.43-2.70
S 0.2071 0.7500 0.2494  2 Pd 2.30, 1 Zr 2.43
Pd 0.3794 0.7500 0.6992  4 S 2.30-2.42
Pd 0.6206 0.2500 0.3008  4 S 2.30-2.42
S 0.7929 0.2500 0.7506  2 Pd 2.30, 1 Zr 2.43
Zr 0.1860 0.2500 0.5611  4 S 2.43-2.70
S 0.8250 0.7500 0.0006  1 Pd 2.42, 2 Zr 2.54
Zr 0.3140 0.7500 0.0611  4 S 2.43-2.70
Zr 0.8140 0.7500 0.4389  4 S 2.43-2.70
S 0.6750 0.2500 0.5006  1 Pd 2.42, 2 Zr 2.54
Pd 0.1206 0.2500 0.1992  4 S 2.30-2.42

---

(6)
VASP calculation (GGA-PBE) on a geometry-optimized Sb2Pd structure.

* mass density: 7.58 g cm⁻³
* total energy: -23.5 eV/cell

Unit cell a=6.0087 b=6.0087 c=6.0087 alpha=60.00 beta=60.00 gamma=60.00
Last column: nearest neighbours and their distance in Å.
Element x y z (fractional)
Sb 0.6250 0.1250 0.6250  6 Sb 3.00
Sb 0.6250 0.6250 0.6250  6 Sb 3.00
Pd 0.0000 0.0000 0.0000  12 Sb 3.52, 4 Pd 3.68
Sb 0.1250 0.6250 0.6250  6 Sb 3.00
Sb 0.6250 0.6250 0.1250  6 Sb 3.00
Pd 0.2500 0.2500 0.2500  12 Sb 3.52, 4 Pd 3.68

---

(7)
VASP calculation (GGA-PBE) on a geometry-optimized SbPd structure.

* mass density: 9.27 g cm⁻³
* total energy: -9.7 eV/cell

Unit cell a=3.3942 b=3.3942 c=4.0949 alpha=90.00 beta=90.00 gamma=120.00
Last column: nearest neighbours and their distance in Å.
Element x y z (fractional)
Sb 0.3333 0.6667 0.2500  6 Pd 2.83
Pd 0.6667 0.3333 0.7500  6 Sb 2.83

---

(8)
VASP calculation (GGA-PBE) on a geometry-optimized SbPd3 structure.

* mass density: 10.68 g cm⁻³
* total energy: -84.7 eV/cell

Unit cell a=7.7479 b=7.7479 c=7.7479 alpha=96.29 beta=96.29 gamma=141.33
Last column: nearest neighbours and their distance in Å.
Element x y z (fractional)
Sb 0.7534 0.4333 0.2411  9 Pd 2.62-2.77
Sb 0.1922 0.5124 0.7589  9 Pd 2.62-2.77
Pd 0.9521 0.5530 0.9586  3 Sb 2.64-2.72, 3 Pd 2.79-2.93
Sb 0.5667 0.8078 0.3202  9 Pd 2.62-2.77
Pd 0.3361 0.9436 0.3343  4 Sb 2.70-2.77, 4 Pd 2.89-2.99
Pd 0.6699 0.7077 0.8174  2 Sb 2.62-2.63, 2 Pd 2.73-2.79
Pd 0.0065 0.0479 0.6009  3 Sb 2.64-2.72, 3 Pd 2.79-2.93
Pd 0.1475 0.3301 0.0379  2 Sb 2.62-2.63, 2 Pd 2.73-2.79
Pd 0.4470 0.4056 0.3991  3 Sb 2.64-2.72, 3 Pd 2.79-2.93
Pd 0.0564 0.3907 0.3925  4 Sb 2.70-2.77, 4 Pd 2.89-2.99
Pd 0.6093 0.0018 0.6657  4 Sb 2.70-2.77, 4 Pd 2.89-2.99
Pd 0.8904 0.8525 0.1826  2 Sb 2.62-2.63, 2 Pd 2.73-2.79
Sb 0.4876 0.2466 0.6798  9 Pd 2.62-2.77
Pd 0.2923 0.1096 0.9621  2 Sb 2.62-2.63, 2 Pd 2.73-2.79
Pd 0.9982 0.6639 0.6075  4 Sb 2.70-2.77, 4 Pd 2.89-2.99
Pd 0.5944 0.9935 0.0414  3 Sb 2.64-2.72, 3 Pd 2.79-2.93

---

(9)
VASP calculation (GGA-PBE) on a geometry-optimized SbPd structure.

* mass density: 9.63 g cm⁻³
* total energy: -9.8 eV/cell

Unit cell a=3.4013 b=3.4013 c=3.4013 alpha=90.00 beta=90.00 gamma=90.00
Last column: nearest neighbours and their distance in Å.
Element x y z (fractional)
Pd 0.5000 0.5000 0.5000  8 Sb 2.95
Sb 0.0000 0.0000 0.0000  8 Pd 2.95

---

(10)
VASP calculation (GGA-PBE) on a geometry-optimized SbPd17 structure.

* mass density: 7.64 g cm⁻³
* total energy: -185.0 eV/cell

Unit cell a=5.5309 b=5.5309 c=31.6742 alpha=90.00 beta=90.00 gamma=120.00
Last column: nearest neighbours and their distance in Å.
Element x y z (fractional)
Pd 0.1667 0.8333 0.5000  12 Pd 2.77-2.79
Pd 0.5001 0.0002 0.5723  12 Pd 2.76-2.80
Pd 0.6667 0.3333 0.7177  12 Pd 2.77-2.85
Pd 0.1662 0.8338 0.2823  11 Pd 2.76-2.85, 1 Sb 2.77
Pd 0.0004 0.5002 0.3552  12 Pd 2.76-2.81
Pd 0.8335 0.1665 0.6448  12 Pd 2.76-2.81
Pd 0.3333 0.6667 0.6446  12 Pd 2.77-2.81
Pd 0.8331 0.1669 0.2078  7 Pd 2.76-2.85, 2 Sb 2.77
Pd 0.4998 0.9996 0.3552  12 Pd 2.76-2.81
Pd 0.5002 0.0005 0.7922  7 Pd 2.76-2.85, 2 Sb 2.77
Pd 0.5001 0.4999 0.5723  12 Pd 2.76-2.80
Sb 0.0000 0.0000 0.7891  9 Pd 2.77
Pd 0.3338 0.1669 0.2078  7 Pd 2.76-2.85, 2 Sb 2.77
Pd 0.8332 0.1668 0.4277  12 Pd 2.76-2.80
Pd 0.8331 0.6662 0.2078  7 Pd 2.76-2.85, 2 Sb 2.77
Pd 0.6667 0.8333 0.5000  12 Pd 2.77-2.79
Pd 0.6657 0.8329 0.7177  11 Pd 2.76-2.85, 1 Sb 2.77
Pd 0.0000 0.0000 0.3554  12 Pd 2.77-2.81
Pd 0.1671 0.3343 0.7177  11 Pd 2.76-2.85, 1 Sb 2.77
Pd 0.3335 0.1668 0.4277  12 Pd 2.76-2.80
Pd 0.3329 0.1665 0.6448  12 Pd 2.76-2.81
Pd 0.9995 0.4998 0.7922  7 Pd 2.76-2.85, 2 Sb 2.77
Sb 0.3333 0.6667 0.2109  9 Pd 2.77
Pd 0.4998 0.5002 0.3552  12 Pd 2.76-2.81
Pd 0.1671 0.8329 0.7177  11 Pd 2.76-2.85, 1 Sb 2.77
Pd 0.8335 0.6671 0.6448  12 Pd 2.76-2.81
Pd 0.1662 0.3324 0.2823  11 Pd 2.76-2.85, 1 Sb 2.77
Pd 0.0000 0.0000 0.5723  12 Pd 2.77-2.80
Pd 0.6667 0.3333 0.2823  12 Pd 2.77-2.85
Pd 0.6667 0.3333 0.5000  12 Pd 2.77-2.79
Pd 0.5002 0.4998 0.7922  7 Pd 2.76-2.85, 2 Sb 2.77
Pd 0.6676 0.8338 0.2823  11 Pd 2.76-2.85, 1 Sb 2.77
Pd 0.3333 0.6667 0.4277  12 Pd 2.77-2.80
Pd 0.1667 0.3333 0.5000  12 Pd 2.77-2.79
Pd 0.9998 0.4999 0.5723  12 Pd 2.76-2.80
Pd 0.8332 0.6665 0.4277  12 Pd 2.76-2.80

---

What is the mass density in the tenth record?
7.64 g cm⁻³